[1]
{
  "formula": "Zr3Sb4",
  "functional": "GGA-PBEsol",
  "state": "optimized geometry",
  "e_tot_ev_per_atom": -7.1336,
  "dos_ef_per_ev_cell": 4.00,
  "raw_formation_energy_ev_per_fu": -4.44,
  "cell": [[-1.902, 1.902, 10.921], [1.902, -1.902, 10.921], [1.902, 1.902, -10.921]],
  "species": ["Zr", "Zr", "Zr", "Sb", "Sb", "Sb", "Sb"],
  "fractional_positions": [[0.000, 0.000, 0.000], [0.292, 0.292, 0.000], [0.708, 0.708, 0.000], [0.155, 0.155, 0.000], [0.432, 0.432, 0.000], [0.568, 0.568, 0.000], [0.845, 0.845, 0.000]]
}

[2]
{
  "formula": "Mn3CuMo",
  "functional": "GGA-PBEsol",
  "state": "optimized geometry",
  "e_tot_ev_per_atom": -7.5957,
  "ef_ev_per_atom": 1.48,
  "dos_ef_per_ev_cell": 7.62,
  "cell": [[4.333, 0.000, 0.000], [0.000, 4.333, 0.000], [0.000, 0.000, 4.333]],
  "species": ["Mn", "Mn", "Mn", "Cu", "Mo"],
  "fractional_positions": [[0.000, 0.000, 0.500], [0.000, 0.500, 0.000], [0.500, 0.000, 0.000], [0.000, 0.000, 0.000], [0.500, 0.500, 0.500]]
}

[3]
{
  "formula": "Zr4Rh2N",
  "functional": "GGA-PBEsol",
  "state": "optimized geometry",
  "e_tot_ev_per_atom": -9.8065,
  "dos_ef_per_ev_cell": 21.91,
  "raw_formation_energy_ev_per_fu": -7.48,
  "cell": [[0.000, 6.143, 6.143], [6.143, 0.000, 6.143], [6.143, 6.143, 0.000]],
  "species": ["Zr", "Zr", "Zr", "Zr", "Zr", "Zr", "Zr", "Zr", "Zr", "Zr", "Zr", "Zr", "Zr", "Zr", "Zr", "Zr", "Rh", "Rh", "Rh", "Rh", "Rh", "Rh", "Rh", "Rh", "N", "N", "N", "N"],
  "fractional_positions": [[0.000, 0.000, 0.000], [0.000, 0.000, 0.500], [0.000, 0.500, 0.000], [0.192, 0.192, 0.558], [0.192, 0.558, 0.192], [0.192, 0.558, 0.558], [0.442, 0.442, 0.808], [0.442, 0.808, 0.442], [0.442, 0.808, 0.808], [0.500, 0.000, 0.000], [0.558, 0.192, 0.192], [0.558, 0.192, 0.558], [0.558, 0.558, 0.192], [0.808, 0.442, 0.442], [0.808, 0.442, 0.808], [0.808, 0.808, 0.442], [0.147, 0.784, 0.784], [0.216, 0.216, 0.216], [0.216, 0.216, 0.853], [0.216, 0.853, 0.216], [0.784, 0.147, 0.784], [0.784, 0.784, 0.147], [0.784, 0.784, 0.784], [0.853, 0.216, 0.216], [0.000, 0.500, 0.500], [0.500, 0.000, 0.500], [0.500, 0.500, 0.000], [0.500, 0.500, 0.500]]
}